(1)
MgZrCd2: relaxed, PBE.

Summary:
SG   Pmm2 (25)
Calculated formation energy   0.0 eV per formula unit
Total energy   -3.001 eV/atom

POSCAR file:
```
MgZrCd2
1.0
3.061 0.000 0.000
0.000 4.474 0.000
0.000 0.000 6.380
Mg Zr Cd
1 1 2
Direct
0.000 0.000 0.000 Mg
0.500 0.500 0.263 Zr
0.000 0.000 0.499 Cd
0.500 0.500 0.769 Cd
```

(2)
LaCrGe: relaxed, PBE.

Summary:
SG   P4/nmm (129)
Calculated formation energy   -1.1 eV per formula unit
Total energy   -6.760 eV/atom

POSCAR file:
```
LaCrGe
1.0
4.335 0.000 0.000
0.000 4.335 0.000
0.000 0.000 7.104
La Cr Ge
2 2 2
Direct
0.250 0.250 0.179 La
0.750 0.750 0.821 La
0.250 0.750 0.500 Cr
0.750 0.250 0.500 Cr
0.250 0.250 0.696 Ge
0.750 0.750 0.304 Ge
```

(3)
Pr8Rh3AuI4: relaxed, PBE.

Summary:
SG   R-3m (166)
Formation energy without anion corrections   -88.2 kJ per mole of atoms
Total energy   -5.274 eV/atom

POSCAR file:
```
Pr8Rh3AuI4
1.0
4.268 2.464 8.176
-4.268 2.464 8.176
0.000 -4.928 8.176
Pr Rh Au I
8 3 1 4
Direct
0.215 0.736 0.736 Pr
0.229 0.229 0.229 Pr
0.264 0.264 0.785 Pr
0.264 0.785 0.264 Pr
0.736 0.215 0.736 Pr
0.736 0.736 0.215 Pr
0.771 0.771 0.771 Pr
0.785 0.264 0.264 Pr
0.000 0.000 0.500 Rh
0.000 0.500 0.000 Rh
0.500 0.000 0.000 Rh
0.500 0.500 0.500 Au
0.000 0.000 0.000 I
0.000 0.500 0.500 I
0.500 0.000 0.500 I
0.500 0.500 0.000 I
```

(4)
V4CrRu: relaxed, PBE.

Summary:
SG   C2/m (12)
Calculated formation energy   2.8 eV per formula unit
Energy above the most stable polymorph in this dataset   705 meV/atom
Total energy   -8.763 eV/atom

POSCAR file:
```
V4CrRu
1.0
2.824 -2.825 0.000
2.824 2.825 0.000
-0.012 0.000 5.839
V Cr Ru
4 1 1
Direct
0.001 0.500 0.762 V
0.500 0.001 0.762 V
0.500 0.999 0.238 V
0.999 0.500 0.238 V
0.000 0.000 0.000 Cr
0.500 0.500 0.500 Ru
```

(5)
Ce3GeBr3: relaxed, PBE.

Summary:
SG   I4_132 (214)
Formation energy without anion corrections   -128.0 kJ per mole of atoms
Total energy   -5.246 eV/atom

POSCAR file:
```
Ce3GeBr3
1.0
-6.005 6.005 6.005
6.005 -6.005 6.005
6.005 6.005 -6.005
Ce Ge Br
12 4 12
Direct
0.007 0.014 0.257 Ce
0.007 0.493 0.750 Ce
0.014 0.257 0.007 Ce
0.243 0.257 0.750 Ce
0.243 0.486 0.493 Ce
0.257 0.007 0.014 Ce
0.257 0.750 0.243 Ce
0.486 0.493 0.243 Ce
0.493 0.243 0.486 Ce
0.493 0.750 0.007 Ce
0.750 0.007 0.493 Ce
0.750 0.243 0.257 Ce
0.000 0.250 0.500 Ge
0.250 0.250 0.250 Ge
0.250 0.500 0.000 Ge
0.500 0.000 0.250 Ge
0.250 0.756 0.744 Br
0.250 0.994 0.506 Br
0.506 0.250 0.994 Br
0.506 0.756 0.511 Br
0.511 0.506 0.756 Br
0.744 0.250 0.756 Br
0.744 0.994 0.989 Br
0.756 0.511 0.506 Br
0.756 0.744 0.250 Br
0.989 0.744 0.994 Br
0.994 0.506 0.250 Br
0.994 0.989 0.744 Br
```

(6)
Mg2GaPd3: relaxed, PBE.

Summary:
SG   Cmmm (65)
Calculated formation energy   -4.3 eV per formula unit
Energy above the most stable polymorph in this dataset   0 meV/atom
Total energy   -4.356 eV/atom

POSCAR file:
```
Mg2GaPd3
1.0
2.240 -6.736 0.000
2.240 6.736 0.000
0.000 0.000 6.226
Mg Ga Pd
4 2 6
Direct
0.000 0.000 0.000 Mg
0.000 0.000 0.500 Mg
0.334 0.666 0.000 Mg
0.666 0.334 0.000 Mg
0.339 0.661 0.500 Ga
0.661 0.339 0.500 Ga
0.172 0.828 0.265 Pd
0.172 0.828 0.735 Pd
0.500 0.500 0.255 Pd
0.500 0.500 0.745 Pd
0.828 0.172 0.265 Pd
0.828 0.172 0.735 Pd
```

(7)
Nd8Rh3SBr4: relaxed, PBE.

Summary:
SG   R-3m (166)
Formation energy without anion corrections   -112.4 kJ per mole of atoms
Total energy   -5.603 eV/atom

POSCAR file:
```
Nd8Rh3SBr4
1.0
4.168 2.407 7.680
-4.168 2.407 7.680
0.000 -4.813 7.680
Nd Rh S Br
8 3 1 4
Direct
0.222 0.738 0.738 Nd
0.232 0.232 0.232 Nd
0.262 0.262 0.778 Nd
0.262 0.778 0.262 Nd
0.738 0.222 0.738 Nd
0.738 0.738 0.222 Nd
0.768 0.768 0.768 Nd
0.778 0.262 0.262 Nd
0.000 0.000 0.500 Rh
0.000 0.500 0.000 Rh
0.500 0.000 0.000 Rh
0.500 0.500 0.500 S
0.000 0.000 0.000 Br
0.000 0.500 0.500 Br
0.500 0.000 0.500 Br
0.500 0.500 0.000 Br
```

(8)
LaZrSn: relaxed, PBE.

Summary:
SG   I4/mmm (139)
Calculated formation energy   -1.7 eV per formula unit
Total energy   -6.387 eV/atom

POSCAR file:
```
LaZrSn
1.0
-2.223 2.223 8.759
2.223 -2.223 8.759
2.223 2.223 -8.759
La Zr Sn
2 2 2
Direct
0.177 0.177 0.000 La
0.823 0.823 0.000 La
0.000 0.500 0.500 Zr
0.500 0.000 0.500 Zr
0.378 0.378 0.000 Sn
0.622 0.622 0.000 Sn
```

(9)
ZnTc2Hg: relaxed, PBE.

Summary:
SG   R-3m (166)
Calculated formation energy   1.9 eV per formula unit
Energy above the most stable polymorph in this dataset   353 meV/atom
Total energy   -5.094 eV/atom

POSCAR file:
```
ZnTc2Hg
1.0
1.418 0.819 9.212
-1.418 0.819 9.212
0.000 -1.638 9.212
Zn Tc Hg
1 2 1
Direct
0.000 0.000 0.000 Zn
0.255 0.255 0.255 Tc
0.745 0.745 0.745 Tc
0.500 0.500 0.500 Hg
```

(10)
PrDy3Y6Sc2: relaxed, PBE.

Summary:
SG   C2/m (12)
Calculated formation energy   0.5 eV per formula unit
Total energy   -5.794 eV/atom

POSCAR file:
```
PrDy3Y6Sc2
1.0
3.053 -5.283 0.000
3.053 5.283 0.000
-2.022 0.000 11.521
Pr Dy Y Sc
1 3 6 2
Direct
0.000 0.000 0.000 Pr
0.167 0.833 0.500 Dy
0.500 0.500 0.500 Dy
0.833 0.167 0.500 Dy
0.083 0.419 0.247 Y
0.253 0.253 0.753 Y
0.419 0.083 0.247 Y
0.581 0.917 0.753 Y
0.747 0.747 0.247 Y
0.917 0.581 0.753 Y
0.333 0.667 0.000 Sc
0.667 0.333 0.000 Sc
```

(11)
NiPb2Au: relaxed, PBE.

Summary:
SG   I-4m2 (119)
Calculated formation energy   1.1 eV per formula unit
Energy above the most stable polymorph in this dataset   219 meV/atom
Total energy   -3.842 eV/atom

POSCAR file:
```
NiPb2Au
1.0
-2.100 2.100 5.018
2.100 -2.100 5.018
2.100 2.100 -5.018
Ni Pb Au
1 2 1
Direct
0.000 0.000 0.000 Ni
0.250 0.750 0.500 Pb
0.500 0.500 0.000 Pb
0.750 0.250 0.500 Au
```

(12)
Ti2ZnPt2: relaxed, PBE.

Summary:
SG   P4/mbm (127)
Calculated formation energy   -3.6 eV per formula unit
Total energy   -6.557 eV/atom

POSCAR file:
```
Ti2ZnPt2
1.0
7.344 0.000 0.000
0.000 7.344 0.000
0.000 0.000 3.057
Ti Zn Pt
4 2 4
Direct
0.167 0.333 0.000 Ti
0.333 0.833 0.000 Ti
0.667 0.167 0.000 Ti
0.833 0.667 0.000 Ti
0.000 0.000 0.500 Zn
0.500 0.500 0.500 Zn
0.133 0.633 0.500 Pt
0.367 0.133 0.500 Pt
0.633 0.867 0.500 Pt
0.867 0.367 0.500 Pt
```

(13)
ScMo2Cl: relaxed, PBE.

Summary:
SG   Fm-3m (225)
Formation energy without anion corrections   100.3 kJ per mole of atoms
Energy above the most stable polymorph in this dataset   1268 meV/atom
Total energy   -6.421 eV/atom

POSCAR file:
```
ScMo2Cl
1.0
0.000 3.218 3.218
3.218 0.000 3.218
3.218 3.218 0.000
Sc Mo Cl
1 2 1
Direct
0.000 0.000 0.000 Sc
0.250 0.250 0.250 Mo
0.750 0.750 0.750 Mo
0.500 0.500 0.500 Cl
```

(14)
La2NdErTm2: relaxed, PBE.

Summary:
SG   Pmc2_1 (26)
Calculated formation energy   0.4 eV per formula unit
Total energy   -4.617 eV/atom

POSCAR file:
```
La2NdErTm2
1.0
5.626 0.000 0.000
0.000 10.342 0.000
0.000 0.000 6.902
La Nd Er Tm
4 2 2 4
Direct
0.000 0.026 0.000 La
0.000 0.974 0.500 La
0.500 0.204 0.265 La
0.500 0.796 0.765 La
0.000 0.309 0.638 Nd
0.000 0.691 0.138 Nd
0.500 0.472 0.893 Er
0.500 0.528 0.393 Er
0.000 0.376 0.143 Tm
0.000 0.624 0.643 Tm
0.500 0.132 0.757 Tm
0.500 0.868 0.257 Tm
```

(15)
TbCe2DySb4: relaxed, PBE.

Summary:
SG   P2/m (10)
Formation energy without anion corrections   -105.5 kJ per mole of atoms
Total energy   -5.792 eV/atom

POSCAR file:
```
TbCe2DySb4
1.0
7.699 0.000 0.000
0.000 4.444 0.000
-2.565 0.000 7.261
Tb Ce Dy Sb
1 2 1 4
Direct
0.000 0.000 0.000 Tb
0.500 0.000 0.500 Ce
0.500 0.500 0.000 Ce
0.000 0.500 0.500 Dy
0.244 0.000 0.747 Sb
0.245 0.500 0.249 Sb
0.755 0.500 0.751 Sb
0.756 0.000 0.253 Sb
```

(16)
TiCuSeO6: relaxed, PBE.

Summary:
SG   P-31c (163)
Formation energy without anion corrections   -118.7 kJ per mole of atoms
Total energy   -6.255 eV/atom

POSCAR file:
```
TiCuSeO6
1.0
4.992 0.000 0.000
-2.496 4.323 0.000
0.000 0.000 8.902
Ti Cu Se O
2 2 2 12
Direct
0.333 0.667 0.250 Ti
0.667 0.333 0.750 Ti
0.000 0.000 0.000 Cu
0.000 0.000 0.500 Cu
0.333 0.667 0.750 Se
0.667 0.333 0.250 Se
0.021 0.370 0.635 O
0.021 0.651 0.865 O
0.349 0.370 0.865 O
0.349 0.979 0.635 O
0.370 0.021 0.135 O
0.370 0.349 0.365 O
0.630 0.651 0.635 O
0.630 0.979 0.865 O
0.651 0.021 0.365 O
0.651 0.630 0.135 O
0.979 0.349 0.135 O
0.979 0.630 0.365 O
```

(17)
SiHgAs2: relaxed, PBE.

Summary:
SG   P4mm (99)
Formation energy without anion corrections   38.4 kJ per mole of atoms
Total energy   -3.358 eV/atom

POSCAR file:
```
SiHgAs2
1.0
3.474 0.000 0.000
0.000 3.474 0.000
0.000 0.000 7.469
Si Hg As
1 1 2
Direct
0.000 0.000 0.000 Si
0.500 0.500 0.682 Hg
0.000 0.000 0.342 As
0.500 0.500 0.160 As
```

(18)
Ti3AsH2: relaxed, PBE.

Summary:
SG   Pmc2_1 (26)
Total energy   -6.309 eV/atom

POSCAR file:
```
Ti3AsH2
1.0
3.221 0.000 0.000
0.000 8.461 0.000
0.000 0.000 5.231
Ti As H
6 2 4
Direct
0.000 0.098 0.000 Ti
0.000 0.336 0.598 Ti
0.000 0.664 0.098 Ti
0.000 0.902 0.500 Ti
0.500 0.382 0.089 Ti
0.500 0.618 0.589 Ti
0.500 0.130 0.382 As
0.500 0.870 0.882 As
0.000 0.473 0.903 H
0.000 0.527 0.403 H
0.500 0.228 0.836 H
0.500 0.772 0.336 H
```

(19)
Tc3Pt4: relaxed, PBE.

Summary:
SG   P6/mmm (191)
Calculated formation energy   0.9 eV per formula unit
Energy above the most stable polymorph in this dataset   87 meV/atom
Total energy   -7.767 eV/atom

POSCAR file:
```
Tc3Pt4
1.0
5.043 0.000 0.000
-2.521 4.367 0.000
0.000 0.000 5.006
Tc Pt
3 4
Direct
0.000 0.500 0.000 Tc
0.500 0.000 0.000 Tc
0.500 0.500 0.000 Tc
0.000 0.000 0.253 Pt
0.000 0.000 0.747 Pt
0.333 0.667 0.500 Pt
0.667 0.333 0.500 Pt
```

(20)
CaZn2Si2HO7: relaxed, PBE.

Summary:
SG   Ama2 (40)
Total energy   -6.193 eV/atom

POSCAR file:
```
CaZn2Si2HO7
1.0
12.659 0.000 0.000
0.000 3.130 4.337
0.000 -3.130 4.337
Ca Zn Si H O
2 4 4 2 14
Direct
0.250 0.250 0.750 Ca
0.750 0.750 0.250 Ca
0.000 0.397 0.397 Zn
0.000 0.897 0.897 Zn
0.500 0.397 0.397 Zn
0.500 0.897 0.897 Zn
0.132 0.884 0.384 Si
0.368 0.884 0.384 Si
0.632 0.384 0.884 Si
0.868 0.384 0.884 Si
0.250 0.559 0.069 H
0.750 0.069 0.559 H
0.044 0.025 0.525 O
0.126 0.563 0.500 O
0.126 0.999 0.064 O
0.250 0.976 0.476 O
0.374 0.563 0.500 O
0.374 0.999 0.064 O
0.456 0.025 0.525 O
0.544 0.525 0.025 O
0.626 0.064 0.999 O
0.626 0.500 0.563 O
0.750 0.476 0.976 O
0.874 0.064 0.999 O
0.874 0.500 0.563 O
0.956 0.525 0.025 O
```

(21)
Ca2Ga3PdAu4: relaxed, PBE.

Summary:
SG   P-4m2 (115)
Calculated formation energy   -5.3 eV per formula unit
Total energy   -3.673 eV/atom

POSCAR file:
```
Ca2Ga3PdAu4
1.0
4.306 0.000 0.000
0.000 4.306 0.000
0.000 0.000 11.282
Ca Ga Pd Au
2 3 1 4
Direct
0.000 0.500 0.242 Ca
0.500 0.000 0.758 Ca
0.000 0.000 0.000 Ga
0.000 0.500 0.631 Ga
0.500 0.000 0.369 Ga
0.500 0.500 0.000 Pd
0.000 0.000 0.500 Au
0.000 0.500 0.852 Au
0.500 0.000 0.148 Au
0.500 0.500 0.500 Au
```

(22)
Ba5S4O: relaxed, PBE.

Summary:
SG   I4 (79)
Formation energy without anion corrections   -203.5 kJ per mole of atoms
Total energy   -5.217 eV/atom

POSCAR file:
```
Ba5S4O
1.0
-4.960 4.960 3.211
4.960 -4.960 3.211
4.960 4.960 -3.211
Ba S O
5 4 1
Direct
0.000 0.000 0.000 Ba
0.173 0.363 0.629 Ba
0.363 0.734 0.190 Ba
0.544 0.173 0.810 Ba
0.734 0.544 0.371 Ba
0.045 0.650 0.796 S
0.249 0.045 0.396 S
0.650 0.854 0.604 S
0.854 0.249 0.204 S
0.399 0.399 0.000 O
```

| no. | total moment (μB per cell) |
| --- | --- |
| 1 | 0.00 |
| 2 | 5.47 |
| 3 | 0.00 |
| 4 | 0.00 |
| 5 | 13.64 |
| 6 | 0.00 |
| 7 | 0.00 |
| 8 | 1.87 |
| 9 | 0.00 |
| 10 | 0.00 |
| 11 | 0.00 |
| 12 | 0.00 |
| 13 | 0.00 |
| 14 | 0.00 |
| 15 | 1.56 |
| 16 | 2.03 |
| 17 | 0.00 |
| 18 | 0.00 |
| 19 | 0.00 |
| 20 | 2.05 |
| 21 | 0.00 |
| 22 | 0.00 |